Run A
## SrY2Fe (PBE)

Data for an optimized crystal structure of SrY2Fe.

Unit cell a=4.7925 b=4.7925 c=10.1494 alpha=90.00 beta=90.00 gamma=90.00
Fractional positions:
Sr 0.0000 0.0000 0.0000
Sr 0.5000 0.5000 0.5000
Y 0.0000 0.0000 0.5000
Y 0.0000 0.5000 0.7500
Y 0.5000 0.0000 0.2500
Y 0.5000 0.5000 0.0000
Fe 0.0000 0.5000 0.2500
Fe 0.5000 0.0000 0.7500

Computed properties:
The calculation puts the volume at 29.1 Å³/atom. For the density of states at the Fermi level, the calculation gives 6.41 states/eV/f.u.

---

Run B
## SrY2Fe (PBE)

Data for an optimized crystal structure of SrY2Fe.

Unit cell a=3.8142 b=3.8142 c=8.4226 alpha=90.00 beta=90.00 gamma=90.00
Fractional positions:
Sr 0.0000 0.0000 0.0000
Y 0.0000 0.0000 0.6025
Y 0.5000 0.5000 0.3497
Fe 0.5000 0.5000 0.7233

Computed properties:
The calculation puts the volume at 30.6 Å³/atom. For the density of states at the Fermi level, the calculation gives 5.63 states/eV/f.u.

---

Most stable structure, least stable structure: run B, run A.

---

Run A
## SrY2Fe (PBE)

Data for an optimized crystal structure of SrY2Fe.

Unit cell a=3.5365 b=5.1499 c=13.0240 alpha=90.00 beta=90.00 gamma=90.00
Fractional positions:
Sr 0.0000 0.0000 0.0000
Sr 0.5000 0.5000 0.5000
Y 0.0000 0.0000 0.6465
Y 0.0000 0.5000 0.8103
Y 0.5000 0.0000 0.3103
Y 0.5000 0.5000 0.1465
Fe 0.0000 0.5000 0.3008
Fe 0.5000 0.0000 0.8008

Computed properties:
The calculation puts the volume at 29.6 Å³/atom. For the density of states at the Fermi level, the calculation gives 6.94 states/eV/f.u.

---

Run B
## SrY2Fe (PBE)

Data for an optimized crystal structure of SrY2Fe.

Unit cell a=7.7538 b=7.7538 c=7.7538 alpha=90.00 beta=90.00 gamma=90.00
Fractional positions:
Sr 0.0000 0.0000 0.0000
Sr 0.0000 0.5000 0.5000
Sr 0.5000 0.0000 0.5000
Sr 0.5000 0.5000 0.0000
Y 0.0000 0.0000 0.5000
Y 0.0000 0.5000 0.0000
Y 0.2500 0.2500 0.7500
Y 0.2500 0.7500 0.2500
Y 0.5000 0.0000 0.0000
Y 0.5000 0.5000 0.5000
Y 0.7500 0.2500 0.2500
Y 0.7500 0.7500 0.7500
Fe 0.2500 0.2500 0.2500
Fe 0.2500 0.7500 0.7500
Fe 0.7500 0.2500 0.7500
Fe 0.7500 0.7500 0.2500

Computed properties:
The calculation puts the volume at 29.1 Å³/atom. For the density of states at the Fermi level, the calculation gives 9.75 states/eV/f.u.

---

Run C
## SrY2Fe (PBE)

Data for an optimized crystal structure of SrY2Fe.

Unit cell a=11.9322 b=3.7647 c=6.5491 alpha=90.00 beta=121.56 gamma=90.00
Fractional positions:
Sr 0.0000 0.0000 0.0000
Sr 0.5000 0.5000 0.0000
Y 0.1799 0.0000 0.6738
Y 0.3673 0.0000 0.3762
Y 0.6799 0.5000 0.6738
Y 0.8673 0.5000 0.3762
Fe 0.2254 0.5000 0.4394
Fe 0.7254 0.0000 0.4394

Computed properties:
The calculation puts the volume at 31.3 Å³/atom. For the density of states at the Fermi level, the calculation gives 5.14 states/eV/f.u.

---

Most stable structure, least stable structure: run C, run B.

---

Run A
## SrY2Fe (PBE)

Data for an optimized crystal structure of SrY2Fe.

Unit cell a=3.8104 b=4.0561 c=16.4901 alpha=90.00 beta=90.00 gamma=90.00
Fractional positions:
Sr 0.0000 0.0000 0.0000
Sr 0.0000 0.5000 0.5000
Y 0.0000 0.0000 0.6905
Y 0.0000 0.5000 0.1905
Y 0.5000 0.0000 0.3218
Y 0.5000 0.5000 0.8218
Fe 0.5000 0.0000 0.1645
Fe 0.5000 0.5000 0.6645

Computed properties:
The calculation puts the volume at 31.9 Å³/atom. For the density of states at the Fermi level, the calculation gives 4.97 states/eV/f.u.

---

Run B
## SrY2Fe (PBE)

Data for an optimized crystal structure of SrY2Fe.

Unit cell a=4.8093 b=4.8093 c=5.0395 alpha=90.00 beta=90.00 gamma=90.00
Fractional positions:
Sr 0.0000 0.0000 0.0000
Y 0.0000 0.5000 0.5000
Y 0.5000 0.0000 0.5000
Fe 0.5000 0.5000 0.0000

Computed properties:
The calculation puts the volume at 29.1 Å³/atom. For the density of states at the Fermi level, the calculation gives 5.98 states/eV/f.u.

---

Run C
## SrY2Fe (PBE)

Data for an optimized crystal structure of SrY2Fe.

Unit cell a=7.4415 b=7.4415 c=7.4415 alpha=90.00 beta=90.00 gamma=90.00
Fractional positions:
Sr 0.0000 0.0000 0.0000
Sr 0.0000 0.5000 0.5000
Sr 0.5000 0.0000 0.5000
Sr 0.5000 0.5000 0.0000
Y 0.2500 0.2500 0.2500
Y 0.2500 0.2500 0.7500
Y 0.2500 0.7500 0.2500
Y 0.2500 0.7500 0.7500
Y 0.7500 0.2500 0.2500
Y 0.7500 0.2500 0.7500
Y 0.7500 0.7500 0.2500
Y 0.7500 0.7500 0.7500
Fe 0.0000 0.0000 0.5000
Fe 0.0000 0.5000 0.0000
Fe 0.5000 0.0000 0.0000
Fe 0.5000 0.5000 0.5000

Computed properties:
The calculation puts the volume at 25.8 Å³/atom. For the density of states at the Fermi level, the calculation gives 6.08 states/eV/f.u.

---

Most stable structure, least stable structure: run A, run C.

---

Run A
## SrYFe (PBE)

Data for an optimized crystal structure of SrYFe.

Unit cell a=7.0851 b=7.0851 c=7.0851 alpha=90.00 beta=90.00 gamma=90.00
Fractional positions:
Sr 0.0000 0.0000 0.0000
Sr 0.0000 0.5000 0.5000
Sr 0.5000 0.0000 0.5000
Sr 0.5000 0.5000 0.0000
Y 0.0000 0.0000 0.5000
Y 0.0000 0.5000 0.0000
Y 0.5000 0.0000 0.0000
Y 0.5000 0.5000 0.5000
Fe 0.2500 0.2500 0.2500
Fe 0.2500 0.7500 0.7500
Fe 0.7500 0.2500 0.7500
Fe 0.7500 0.7500 0.2500

Computed properties:
The calculation puts the volume at 29.6 Å³/atom. For the density of states at the Fermi level, the calculation gives 7.84 states/eV/f.u.

---

Run B
## SrYFe (PBE)

Data for an optimized crystal structure of SrYFe.

Unit cell a=3.6201 b=3.6201 c=13.2172 alpha=90.00 beta=90.00 gamma=90.00
Fractional positions:
Sr 0.0000 0.0000 0.0000
Sr 0.5000 0.5000 0.5000
Y 0.0000 0.0000 0.2612
Y 0.5000 0.5000 0.7612
Fe 0.0000 0.0000 0.6583
Fe 0.5000 0.5000 0.1583

Computed properties:
The calculation puts the volume at 28.9 Å³/atom. For the density of states at the Fermi level, the calculation gives 5.85 states/eV/f.u.

---

Run C
## SrYFe (PBE)

Data for an optimized crystal structure of SrYFe.

Unit cell a=3.8757 b=3.8757 c=7.1108 alpha=90.00 beta=90.00 gamma=120.00
Fractional positions:
Sr 0.0000 0.0000 0.0000
Y 0.6667 0.3333 0.4902
Fe 0.3333 0.6667 0.7141

Computed properties:
The calculation puts the volume at 30.8 Å³/atom. For the density of states at the Fermi level, the calculation gives 3.93 states/eV/f.u.

---

Most stable structure, least stable structure: run B, run A.